Entry 1:
The following is a DFT calculation (PBE) of a relaxed KBeP2 crystal.

**Energy of formation from the pure elements**: 0.79 eV per atom
**Space group**: P4/mmm (123)
**E**: -12.5 eV per cell

Unit cell a=4.203 b=4.208 c=4.101 alpha=90.00 beta=90.00 gamma=90.00
Element x y z (fractional)
P  0.000  0.000  0.000
P  0.500  0.500  0.000
K  0.000  0.500  0.500
Be  0.500  0.000  0.500



Entry 2:
The following is a DFT calculation (PBE) of a relaxed Y2ScCu2 crystal.

**Energy of formation from the pure elements**: 0.01 eV per atom
**Space group**: P4/mbm (127)
**E**: -54.8 eV per cell
**Offset from the most stable computed form**: 165.7 meV per atom

Unit cell a=8.133 b=8.133 c=3.308 alpha=90.00 beta=90.00 gamma=90.00
Element x y z (fractional)
Y  0.353  0.853  0.000
Y  0.853  0.647  0.000
Y  0.647  0.147  0.000
Y  0.147  0.353  0.000
Sc  0.000  0.000  0.000
Sc  0.500  0.500  0.000
Cu  0.149  0.649  0.500
Cu  0.649  0.851  0.500
Cu  0.851  0.351  0.500
Cu  0.351  0.149  0.500



Entry 3:
The following is a DFT calculation (PBE) of a relaxed SiHPd2 crystal.

**Space group**: Fm-3m (225)
**E**: -19.2 eV per cell
**Offset from the most stable computed form**: 172.4 meV per atom

Unit cell a=4.101 b=4.101 c=4.101 alpha=60.00 beta=60.00 gamma=60.00
Element x y z (fractional)
H  0.000  0.000  0.000
Si  0.500  0.500  0.500
Pd  0.250  0.250  0.250
Pd  0.750  0.750  0.750



Entry 4:
The following is a DFT calculation (PBE) of a relaxed YSn3Rh crystal.

**Energy of formation from the pure elements**: -0.09 eV per atom
**Space group**: Pm-3m (221)
**E**: -26.3 eV per cell

Unit cell a=5.150 b=5.150 c=5.150 alpha=90.00 beta=90.00 gamma=90.00
Element x y z (fractional)
Y  0.500  0.500  0.500
Rh  0.000  0.000  0.000
Sn  0.000  0.500  0.000
Sn  0.000  0.000  0.500
Sn  0.500  0.000  0.000



Entry 5:
The following is a DFT calculation (PBE) of a relaxed CsCaBeS2 crystal.

**Space group**: P2/c (13)
**E**: -39.7 eV per cell
**Uncorrected formation energy**: -96.4 kJ/mol of atoms

Unit cell a=5.116 b=7.874 c=7.842 alpha=104.64 beta=90.00 gamma=90.00
Element x y z (fractional)
Cs  0.238  0.500  0.750
Cs  0.762  0.500  0.250
Ca  0.486  0.000  0.250
Ca  0.514  0.000  0.750
Be  0.000  0.000  0.000
Be  0.000  0.000  0.500
S  0.756  0.803  0.955
S  0.756  0.197  0.545
S  0.244  0.803  0.455
S  0.244  0.197  0.045



Q: Which of these has the highest E?
A: KBeP2



Copy entry 1 word for word.
The following is a DFT calculation (PBE) of a relaxed KBeP2 crystal.

**Energy of formation from the pure elements**: 0.79 eV per atom
**Space group**: P4/mmm (123)
**E**: -12.5 eV per cell

Unit cell a=4.203 b=4.208 c=4.101 alpha=90.00 beta=90.00 gamma=90.00
Element x y z (fractional)
P  0.000  0.000  0.000
P  0.500  0.500  0.000
K  0.000  0.500  0.500
Be  0.500  0.000  0.500



Q: What is the E in the fourth record?
A: -26.3 eV per cell



Q: Among the records above, which one has the highest E?
A: KBeP2